Run a
LiAgSb3 | PBE | optimized geometry

Geometry as POSCAR:
```
LiAgSb3
1.0
5.019 0.000 0.000
0.000 5.019 0.000
0.000 0.000 5.019
Li Ag Sb
1 1 3
direct
0.000 0.000 0.000
0.500 0.500 0.500
0.000 0.000 0.500
0.000 0.500 0.000
0.500 0.000 0.000
```

Its theoretical density is 6.307 g/cm³. Its space-group type is Pm-3m, No. 221. The calculation puts the volume at 126.4 Å³ per cell.

=====

Run b
LiAgSb3 | PBE | optimized geometry

Geometry as POSCAR:
```
LiAgSb3
1.0
5.432 0.000 0.000
0.000 5.432 0.000
0.000 0.000 5.432
Li Ag Sb
1 1 3
direct
0.000 0.000 0.000
0.500 0.500 0.500
0.000 0.500 0.500
0.500 0.000 0.500
0.500 0.500 0.000
```

Its theoretical density is 4.974 g/cm³. Its space-group type is Pm-3m, No. 221. The calculation puts the volume at 160.3 Å³ per cell.

=====

Most stable: run a. Least stable: run b.

=====

Run a
Li3Ag2Sb2 | PBE | optimized geometry

Geometry as POSCAR:
```
Li3Ag2Sb2
1.0
4.648 0.000 0.000
0.000 2.939 0.000
-1.776 0.000 10.578
Li Ag Sb
3 2 2
direct
0.000 0.000 0.000
0.278 0.000 0.574
0.722 0.000 0.426
0.175 0.000 0.308
0.825 0.000 0.692
0.377 0.500 0.833
0.623 0.500 0.167
```

Its theoretical density is 5.518 g/cm³. Its space-group type is P2/m, No. 10. The calculation puts the volume at 144.5 Å³ per cell.

=====

Run b
Li3Ag2Sb2 | PBE | optimized geometry

Geometry as POSCAR:
```
Li3Ag2Sb2
1.0
4.303 0.000 0.000
2.142 4.440 0.000
0.034 0.742 7.021
Li Ag Sb
3 2 2
direct
0.000 0.000 0.000
0.140 0.720 0.433
0.860 0.280 0.567
0.288 0.423 0.858
0.712 0.577 0.142
0.415 0.165 0.275
0.585 0.835 0.725
```

Its theoretical density is 5.943 g/cm³. Its space-group type is P-1, No. 2. The calculation puts the volume at 134.1 Å³ per cell.

=====

Most stable: run b. Least stable: run a.

=====

Run a
LiAg3Sb | PBE | optimized geometry

Geometry as POSCAR:
```
LiAg3Sb
1.0
5.255 0.000 0.000
0.000 5.255 0.000
0.000 0.000 5.255
Li Ag Sb
1 3 1
direct
0.000 0.000 0.000
0.000 0.500 0.500
0.500 0.000 0.500
0.500 0.500 0.000
0.500 0.500 0.500
```

Its theoretical density is 5.174 g/cm³. Its space-group type is Pm-3m, No. 221. The calculation puts the volume at 145.2 Å³ per cell.

=====

Run b
LiAg3Sb | PBE | optimized geometry

Geometry as POSCAR:
```
LiAg3Sb
1.0
2.113 -10.461 0.000
2.113 10.461 0.000
0.000 0.000 4.235
Li Ag Sb
2 6 2
direct
0.149 0.851 0.750
0.851 0.149 0.250
0.048 0.952 0.250
0.250 0.750 0.250
0.450 0.550 0.250
0.550 0.450 0.750
0.750 0.250 0.750
0.952 0.048 0.750
0.349 0.651 0.750
0.651 0.349 0.250
```

Its theoretical density is 8.024 g/cm³. Its space-group type is Cmcm, No. 63. The calculation puts the volume at 187.2 Å³ per cell.

=====

Run c
LiAg3Sb | PBE | optimized geometry

Geometry as POSCAR:
```
LiAg3Sb
1.0
4.761 0.000 0.000
0.000 6.004 0.000
-2.350 0.000 6.787
Li Ag Sb
2 6 2
direct
0.114 0.250 0.230
0.886 0.750 0.770
0.313 0.510 0.627
0.313 0.990 0.627
0.500 0.250 0.001
0.500 0.750 0.999
0.687 0.010 0.373
0.687 0.490 0.373
0.124 0.750 0.249
0.876 0.250 0.751
```

Its theoretical density is 7.742 g/cm³. Its space-group type is P2_1/m, No. 11. The calculation puts the volume at 194.0 Å³ per cell.

=====

Most stable: run b. Least stable: run a.